Record 1
Here is crystalline LaSm4S7 at its relaxed geometry from the Alexandria database. Energies are from PBE-GGA.

The structure in CIF format:
```
data_LaSm4S7
_chemical_formula_sum 'La2 Sm8 S14'
_space_group_name_H-M_alt 'C 1 m 1'
_space_group_IT_number 8
_space_group_name_Hall 'C -2y'
_cell_length_a 13.349
_cell_length_b 3.925
_cell_length_c 11.895
_cell_angle_alpha 90.00
_cell_angle_beta 104.73
_cell_angle_gamma 90.00
loop_
_atom_site_label
_atom_site_fract_x
_atom_site_fract_y
_atom_site_fract_z
La1 0.000 0.000 0.000
Sm1 0.112 0.000 0.422
Sm2 0.223 0.000 0.837
Sm3 0.312 0.500 0.234
Sm4 0.411 0.000 0.607
S1 0.067 0.000 0.634
S2 0.114 0.500 0.916
S3 0.157 0.000 0.209
S4 0.271 0.500 0.471
S5 0.350 0.500 0.767
S6 0.366 0.000 0.069
S7 0.454 0.000 0.370
```

Record 2
Here is crystalline La2Sm3S4 at its relaxed geometry from the Alexandria database. Energies are from PBE-GGA.

The structure in CIF format:
```
data_La2Sm3S4
_chemical_formula_sum 'La4 Sm6 S8'
_space_group_name_H-M_alt 'C 1 2/m 1'
_space_group_IT_number 12
_space_group_name_Hall '-C 2y'
_cell_length_a 13.408
_cell_length_b 4.031
_cell_length_c 9.881
_cell_angle_alpha 90.00
_cell_angle_beta 118.92
_cell_angle_gamma 90.00
loop_
_atom_site_label
_atom_site_fract_x
_atom_site_fract_y
_atom_site_fract_z
La1 0.100 0.000 0.399
Sm1 0.000 0.500 0.000
Sm2 0.206 0.500 0.808
S1 0.102 0.000 0.902
S2 0.200 0.500 0.295
```

Record 3
Here is crystalline Sr2LaSmS4 at its relaxed geometry from the Alexandria database. Energies are from PBE-GGA.

The structure in CIF format:
```
data_Sr2LaSmS4
_chemical_formula_sum 'Sr2 La1 Sm1 S4'
_space_group_name_H-M_alt 'P 1 2/m 1'
_space_group_IT_number 10
_space_group_name_Hall '-P 2y'
_cell_length_a 7.173
_cell_length_b 4.143
_cell_length_c 7.303
_cell_angle_alpha 90.00
_cell_angle_beta 109.10
_cell_angle_gamma 90.00
loop_
_atom_site_label
_atom_site_fract_x
_atom_site_fract_y
_atom_site_fract_z
Sr1 0.000 0.000 0.000
Sr2 0.500 0.500 0.000
La1 0.000 0.500 0.500
Sm1 0.500 0.000 0.500
S1 0.253 0.000 0.742
S2 0.258 0.500 0.261
```

Record 4
Here is crystalline La2TbSm3S6 at its relaxed geometry from the Alexandria database. Energies are from PBE-GGA.

The structure in CIF format:
```
data_La2TbSm3S6
_chemical_formula_sum 'La4 Tb2 Sm6 S12'
_space_group_name_H-M_alt 'C 1 2/m 1'
_space_group_IT_number 12
_space_group_name_Hall '-C 2y'
_cell_length_a 17.609
_cell_length_b 4.029
_cell_length_c 8.134
_cell_angle_alpha 90.00
_cell_angle_beta 103.27
_cell_angle_gamma 90.00
loop_
_atom_site_label
_atom_site_fract_x
_atom_site_fract_y
_atom_site_fract_z
La1 0.166 0.000 0.334
Tb1 0.000 0.500 0.000
Sm1 0.000 0.500 0.500
Sm2 0.168 0.000 0.834
S1 0.003 0.000 0.757
S2 0.164 0.500 0.075
S3 0.164 0.500 0.590
```

Record 5
Here is crystalline LaTb2Sm3S6 at its relaxed geometry from the Alexandria database. Energies are from PBE-GGA.

The structure in CIF format:
```
data_LaTb2Sm3S6
_chemical_formula_sum 'La2 Tb4 Sm6 S12'
_space_group_name_H-M_alt 'C 1 2/m 1'
_space_group_IT_number 12
_space_group_name_Hall '-C 2y'
_cell_length_a 6.935
_cell_length_b 12.048
_cell_length_c 6.932
_cell_angle_alpha 90.00
_cell_angle_beta 109.59
_cell_angle_gamma 90.00
loop_
_atom_site_label
_atom_site_fract_x
_atom_site_fract_y
_atom_site_fract_z
La1 0.000 0.000 0.000
Tb1 0.000 0.333 0.000
Sm1 0.000 0.163 0.500
Sm2 0.000 0.500 0.500
S1 0.238 0.500 0.245
S2 0.245 0.328 0.751
```

Record 6
Here is crystalline La3TbSm3S8 at its relaxed geometry from the Alexandria database. Energies are from PBE-GGA.

The structure in CIF format:
```
data_La3TbSm3S8
_chemical_formula_sum 'La9 Tb3 Sm9 S24'
_space_group_name_H-M_alt 'R -3 m'
_space_group_IT_number 166
_space_group_name_Hall '-R 3 2"'
_cell_length_a 8.0857
_cell_length_b 8.0857
_cell_length_c 20.1550
_cell_angle_alpha 90.00
_cell_angle_beta 90.00
_cell_angle_gamma 120.00
loop_
_atom_site_label
_atom_site_fract_x
_atom_site_fract_y
_atom_site_fract_z
La1 0.0000 0.5000 0.0000
Tb1 0.0000 0.0000 0.5000
Sm1 0.0000 0.5000 0.5000
S1 0.0000 0.0000 0.2467
S2 0.0051 0.5025 0.2454
```

Record 7
Here is crystalline LaSmTe2S at its relaxed geometry from the Alexandria database. Energies are from PBE-GGA.

The structure in CIF format:
```
data_LaSmTe2S
_chemical_formula_sum 'La2 Sm2 Te4 S2'
_space_group_name_H-M_alt 'P 4/n m m'
_space_group_IT_number 129
_cell_length_a 4.538
_cell_length_b 4.538
_cell_length_c 15.929
_cell_angle_alpha 90.00
_cell_angle_beta 90.00
_cell_angle_gamma 90.00
loop_
_space_group_symop_operation_xyz
'x,y,z'
'-x,-y,-z'
'-y+1/2,x,z'
'y+1/2,-x,-z'
'-x+1/2,-y+1/2,z'
'x+1/2,y+1/2,-z'
'y,-x+1/2,z'
'-y,x+1/2,-z'
'x+1/2,-y,-z'
'-x+1/2,y,z'
'-y,-x,-z'
'y,x,z'
'-x,y+1/2,-z'
'x,-y+1/2,z'
'y+1/2,x+1/2,-z'
'-y+1/2,-x+1/2,z'
loop_
_atom_site_label
_atom_site_fract_x
_atom_site_fract_y
_atom_site_fract_z
La1 0.250 0.250 0.104
Sm1 0.250 0.250 0.613
Te1 0.250 0.250 0.406
Te2 0.250 0.250 0.798
S1 0.250 0.750 0.000
```

Record 8
Here is crystalline LaSmTeS at its relaxed geometry from the Alexandria database. Energies are from PBE-GGA.

The structure in CIF format:
```
data_LaSmTeS
_chemical_formula_sum 'La6 Sm6 Te6 S6'
_space_group_name_H-M_alt 'R -3 m'
_space_group_IT_number 166
_space_group_name_Hall '-R 3 2"'
_cell_length_a 5.0588
_cell_length_b 5.0588
_cell_length_c 33.0064
_cell_angle_alpha 90.00
_cell_angle_beta 90.00
_cell_angle_gamma 120.00
loop_
_atom_site_label
_atom_site_fract_x
_atom_site_fract_y
_atom_site_fract_z
La1 0.0000 0.0000 0.2040
Sm1 0.0000 0.0000 0.3762
Te1 0.0000 0.0000 0.0982
S1 0.0000 0.0000 0.2947
```

Record 9
Here is crystalline LaSm3Th4S8 at its relaxed geometry from the Alexandria database. Energies are from PBE-GGA.

The structure in CIF format:
```
data_LaSm3Th4S8
_chemical_formula_sum 'La3 Sm9 Th12 S24'
_space_group_name_H-M_alt 'R -3 m'
_space_group_IT_number 166
_space_group_name_Hall '-R 3 2"'
_cell_length_a 8.0050
_cell_length_b 8.0050
_cell_length_c 20.1764
_cell_angle_alpha 90.00
_cell_angle_beta 90.00
_cell_angle_gamma 120.00
loop_
_atom_site_label
_atom_site_fract_x
_atom_site_fract_y
_atom_site_fract_z
La1 0.0000 0.0000 0.0000
Sm1 0.0000 0.5000 0.0000
Th1 0.0000 0.0000 0.5000
Th2 0.0000 0.5000 0.5000
S1 0.0000 0.0000 0.2519
S2 0.0049 0.5024 0.2509
```

Record 10
Here is crystalline La4Sm3ThS8 at its relaxed geometry from the Alexandria database. Energies are from PBE-GGA.

The structure in CIF format:
```
data_La4Sm3ThS8
_chemical_formula_sum 'La12 Sm9 Th3 S24'
_space_group_name_H-M_alt 'R -3 m'
_space_group_IT_number 166
_space_group_name_Hall '-R 3 2"'
_cell_length_a 8.1641
_cell_length_b 8.1641
_cell_length_c 20.0575
_cell_angle_alpha 90.00
_cell_angle_beta 90.00
_cell_angle_gamma 120.00
loop_
_atom_site_label
_atom_site_fract_x
_atom_site_fract_y
_atom_site_fract_z
La1 0.0000 0.0000 0.0000
La2 0.0000 0.5000 0.0000
Sm1 0.0000 0.5000 0.5000
Th1 0.0000 0.0000 0.5000
S1 0.0000 0.0000 0.2464
S2 0.0012 0.5006 0.7534
```

Record 11
Here is crystalline La2SmThS4 at its relaxed geometry from the Alexandria database. Energies are from PBE-GGA.

The structure in CIF format:
```
data_La2SmThS4
_chemical_formula_sum 'La2 Sm1 Th1 S4'
_space_group_name_H-M_alt 'P 1 2/m 1'
_space_group_IT_number 10
_space_group_name_Hall '-P 2y'
_cell_length_a 7.087
_cell_length_b 4.079
_cell_length_c 7.088
_cell_angle_alpha 90.00
_cell_angle_beta 109.40
_cell_angle_gamma 90.00
loop_
_atom_site_label
_atom_site_fract_x
_atom_site_fract_y
_atom_site_fract_z
La1 0.000 0.000 0.000
La2 0.000 0.500 0.500
Sm1 0.500 0.000 0.500
Th1 0.500 0.500 0.000
S1 0.259 0.000 0.751
S2 0.260 0.500 0.255
```

Record 12
Here is crystalline La4SmTh3S8 at its relaxed geometry from the Alexandria database. Energies are from PBE-GGA.

The structure in CIF format:
```
data_La4SmTh3S8
_chemical_formula_sum 'La12 Sm3 Th9 S24'
_space_group_name_H-M_alt 'R -3 m'
_space_group_IT_number 166
_space_group_name_Hall '-R 3 2"'
_cell_length_a 8.1718
_cell_length_b 8.1718
_cell_length_c 20.0940
_cell_angle_alpha 90.00
_cell_angle_beta 90.00
_cell_angle_gamma 120.00
loop_
_atom_site_label
_atom_site_fract_x
_atom_site_fract_y
_atom_site_fract_z
La1 0.0000 0.0000 0.0000
La2 0.0000 0.5000 0.0000
Sm1 0.0000 0.0000 0.5000
Th1 0.0000 0.5000 0.5000
S1 0.0000 0.0000 0.2480
S2 0.0020 0.5010 0.2472
```

Record 13
Here is crystalline LaSm3Th2S6 at its relaxed geometry from the Alexandria database. Energies are from PBE-GGA.

The structure in CIF format:
```
data_LaSm3Th2S6
_chemical_formula_sum 'La2 Sm6 Th4 S12'
_space_group_name_H-M_alt 'C 1 2/m 1'
_space_group_IT_number 12
_space_group_name_Hall '-C 2y'
_cell_length_a 6.974
_cell_length_b 12.048
_cell_length_c 7.061
_cell_angle_alpha 90.00
_cell_angle_beta 109.17
_cell_angle_gamma 90.00
loop_
_atom_site_label
_atom_site_fract_x
_atom_site_fract_y
_atom_site_fract_z
La1 0.000 0.000 0.000
Sm1 0.000 0.164 0.500
Sm2 0.000 0.500 0.500
Th1 0.000 0.333 0.000
S1 0.245 0.331 0.742
S2 0.247 0.500 0.254
```

Record 14
Here is crystalline La2SmTl3S6 at its relaxed geometry from the Alexandria database. Energies are from PBE-GGA.

The structure in CIF format:
```
data_La2SmTl3S6
_chemical_formula_sum 'La4 Sm2 Tl6 S12'
_space_group_name_H-M_alt 'C 1 2/m 1'
_space_group_IT_number 12
_space_group_name_Hall '-C 2y'
_cell_length_a 7.332
_cell_length_b 12.695
_cell_length_c 7.849
_cell_angle_alpha 90.00
_cell_angle_beta 108.13
_cell_angle_gamma 90.00
loop_
_atom_site_label
_atom_site_fract_x
_atom_site_fract_y
_atom_site_fract_z
La1 0.000 0.167 0.000
Sm1 0.000 0.500 0.000
Tl1 0.000 0.000 0.500
Tl2 0.000 0.334 0.500
S1 0.231 0.337 0.203
S2 0.242 0.000 0.205
```

Record 15
Here is crystalline La2SmTmS4 at its relaxed geometry from the Alexandria database. Energies are from PBE-GGA.

The structure in CIF format:
```
data_La2SmTmS4
_chemical_formula_sum 'La2 Sm1 Tm1 S4'
_space_group_name_H-M_alt 'P 1 2/m 1'
_space_group_IT_number 10
_space_group_name_Hall '-P 2y'
_cell_length_a 6.977
_cell_length_b 3.992
_cell_length_c 7.084
_cell_angle_alpha 90.00
_cell_angle_beta 108.89
_cell_angle_gamma 90.00
loop_
_atom_site_label
_atom_site_fract_x
_atom_site_fract_y
_atom_site_fract_z
La1 0.000 0.000 0.000
La2 0.500 0.500 0.000
Sm1 0.000 0.500 0.500
Tm1 0.500 0.000 0.500
S1 0.252 0.000 0.733
S2 0.265 0.500 0.272
```

Record 16
Here is crystalline LaSmTm2S4 at its relaxed geometry from the Alexandria database. Energies are from PBE-GGA.

The structure in CIF format:
```
data_LaSmTm2S4
_chemical_formula_sum 'La2 Sm2 Tm4 S8'
_space_group_name_H-M_alt 'I 4/m m m'
_space_group_IT_number 139
_space_group_name_Hall '-I 4 2'
_cell_length_a 5.616
_cell_length_b 5.616
_cell_length_c 11.242
_cell_angle_alpha 90.00
_cell_angle_beta 90.00
_cell_angle_gamma 90.00
loop_
_atom_site_label
_atom_site_fract_x
_atom_site_fract_y
_atom_site_fract_z
La1 0.000 0.000 0.000
Sm1 0.000 0.000 0.500
Tm1 0.000 0.500 0.250
S1 0.000 0.000 0.253
S2 0.000 0.500 0.000
```

Record 17
Here is crystalline La4Sm3TmS8 at its relaxed geometry from the Alexandria database. Energies are from PBE-GGA.

The structure in CIF format:
```
data_La4Sm3TmS8
_chemical_formula_sum 'La12 Sm9 Tm3 S24'
_space_group_name_H-M_alt 'R -3 m'
_space_group_IT_number 166
_space_group_name_Hall '-R 3 2"'
_cell_length_a 8.1042
_cell_length_b 8.1042
_cell_length_c 20.0015
_cell_angle_alpha 90.00
_cell_angle_beta 90.00
_cell_angle_gamma 120.00
loop_
_atom_site_label
_atom_site_fract_x
_atom_site_fract_y
_atom_site_fract_z
La1 0.0000 0.0000 0.0000
La2 0.0000 0.5000 0.0000
Sm1 0.0000 0.5000 0.5000
Tm1 0.0000 0.0000 0.5000
S1 0.0000 0.0000 0.2464
S2 0.0083 0.5042 0.2445
```

Record 18
Here is crystalline La3SmTm2S6 at its relaxed geometry from the Alexandria database. Energies are from PBE-GGA.

The structure in CIF format:
```
data_La3SmTm2S6
_chemical_formula_sum 'La6 Sm2 Tm4 S12'
_space_group_name_H-M_alt 'C 1 2/m 1'
_space_group_IT_number 12
_space_group_name_Hall '-C 2y'
_cell_length_a 6.913
_cell_length_b 12.002
_cell_length_c 7.064
_cell_angle_alpha 90.00
_cell_angle_beta 109.14
_cell_angle_gamma 90.00
loop_
_atom_site_label
_atom_site_fract_x
_atom_site_fract_y
_atom_site_fract_z
La1 0.000 0.000 0.000
La2 0.000 0.337 0.000
Sm1 0.000 0.500 0.500
Tm1 0.000 0.167 0.500
S1 0.233 0.000 0.726
S2 0.248 0.329 0.729
```

Record 19
Here is crystalline LaSm2US8 at its relaxed geometry from the Alexandria database. Energies are from PBE-GGA.

The structure in CIF format:
```
data_LaSm2US8
_chemical_formula_sum 'La1 Sm2 U1 S8'
_space_group_name_H-M_alt 'P m m m'
_space_group_IT_number 47
_space_group_name_Hall '-P 2 2'
_cell_length_a 4.738
_cell_length_b 6.652
_cell_length_c 9.179
_cell_angle_alpha 90.00
_cell_angle_beta 90.00
_cell_angle_gamma 90.00
loop_
_atom_site_label
_atom_site_fract_x
_atom_site_fract_y
_atom_site_fract_z
La1 0.000 0.000 0.000
Sm1 0.500 0.500 0.251
U1 0.000 0.000 0.500
S1 0.000 0.248 0.275
S2 0.500 0.223 0.500
S3 0.500 0.256 0.000
```

Record 20
Here is crystalline La4SmY3S8 at its relaxed geometry from the Alexandria database. Energies are from PBE-GGA.

The structure in CIF format:
```
data_La4SmY3S8
_chemical_formula_sum 'La12 Sm3 Y9 S24'
_space_group_name_H-M_alt 'R -3 m'
_space_group_IT_number 166
_space_group_name_Hall '-R 3 2"'
_cell_length_a 8.0604
_cell_length_b 8.0604
_cell_length_c 20.0109
_cell_angle_alpha 90.00
_cell_angle_beta 90.00
_cell_angle_gamma 120.00
loop_
_atom_site_label
_atom_site_fract_x
_atom_site_fract_y
_atom_site_fract_z
La1 0.0000 0.0000 0.0000
La2 0.0000 0.5000 0.0000
Sm1 0.0000 0.0000 0.5000
Y1 0.0000 0.5000 0.5000
S1 0.0000 0.0000 0.2435
S2 0.0043 0.5021 0.7556
```

| no. | DFT total energy (eV/atom) | Fermi-level density of states (states/eV/cell) |
| --- | --- | --- |
| 1 | -6.4624 | 2.98 |
| 2 | -6.3124 | 12.06 |
| 3 | -5.7668 | 3.69 |
| 4 | -6.5161 | 11.92 |
| 5 | -6.4681 | 10.41 |
| 6 | -6.5496 | 22.44 |
| 7 | -5.6140 | 3.81 |
| 8 | -5.6765 | 12.35 |
| 9 | -7.0557 | 16.45 |
| 10 | -6.7167 | 29.54 |
| 11 | -6.8617 | 3.58 |
| 12 | -7.0100 | 19.19 |
| 13 | -6.8656 | 12.89 |
| 14 | -5.3771 | 0.00 |
| 15 | -6.5182 | 4.97 |
| 16 | -6.3447 | 7.49 |
| 17 | -6.5440 | 25.80 |
| 18 | -6.5071 | 11.49 |
| 19 | -6.4711 | 3.72 |
| 20 | -6.8910 | 26.82 |